# 1
# RbCuTe2PdSe (PBE, relaxed)
data_RbCuTe2PdSe
_cell_length_a 7.777
_cell_length_b 7.777
_cell_length_c 10.966
_cell_angle_alpha 90.00
_cell_angle_beta 90.00
_cell_angle_gamma 149.59
_space_group_name_H-M_alt 'P 1'
_space_group_IT_number 1
_space_group_name_Hall 'P 1'
loop_
_atom_site_label
_atom_site_type_symbol
_atom_site_fract_x
_atom_site_fract_y
_atom_site_fract_z
Cu1 Cu 0.456 0.544 0.250
Cu2 Cu 0.544 0.456 0.750
Pd1 Pd 0.000 0.000 0.000
Pd2 Pd 0.000 0.000 0.500
Rb1 Rb 0.744 0.256 0.250
Rb2 Rb 0.256 0.744 0.750
Se1 Se 0.043 0.957 0.250
Se2 Se 0.957 0.043 0.750
Te1 Te 0.384 0.616 0.034
Te2 Te 0.384 0.616 0.466
Te3 Te 0.616 0.384 0.534
Te4 Te 0.616 0.384 0.966
# Space group   No. 63
# Raw total energy   -3.667 eV per atom

***

# 2
# Er3Sn3C2 (PBE, relaxed)
data_Er3Sn3C2
_cell_length_a 6.333
_cell_length_b 6.333
_cell_length_c 6.333
_cell_angle_alpha 66.05
_cell_angle_beta 66.05
_cell_angle_gamma 66.05
_space_group_name_H-M_alt 'P 1'
_space_group_IT_number 1
_space_group_name_Hall 'P 1'
loop_
_atom_site_label
_atom_site_type_symbol
_atom_site_fract_x
_atom_site_fract_y
_atom_site_fract_z
C1 C 0.256 0.256 0.256
C2 C 0.744 0.744 0.744
Er1 Er 0.500 0.500 0.000
Er2 Er 0.500 0.000 0.500
Er3 Er 0.000 0.500 0.500
Sn1 Sn 0.112 0.112 0.112
Sn2 Sn 0.500 0.500 0.500
Sn3 Sn 0.888 0.888 0.888
# Space group   No. 166
# Total moment   0.0 μB/f.u.
# Raw total energy   -5.334 eV per atom

***

# 3
# AcHgTe (PBE, relaxed)
data_AcHgTe
_cell_length_a 5.440
_cell_length_b 5.440
_cell_length_c 5.440
_cell_angle_alpha 60.00
_cell_angle_beta 60.00
_cell_angle_gamma 60.00
_space_group_name_H-M_alt 'P 1'
_space_group_IT_number 1
_space_group_name_Hall 'P 1'
loop_
_atom_site_label
_atom_site_type_symbol
_atom_site_fract_x
_atom_site_fract_y
_atom_site_fract_z
Ac1 Ac 0.250 0.250 0.250
Hg1 Hg 0.750 0.750 0.750
Te1 Te 0.000 0.000 0.000
# Space group   No. 216
# Total moment   0.0 μB/f.u.
# Offset from the most stable computed form   0.00 kJ per mole of atoms
# Raw total energy   -3.199 eV per atom

***

# 4
# LaSmB2Ir2N2 (PBE, relaxed)
data_LaSmB2Ir2N2
_cell_length_a 3.830
_cell_length_b 3.830
_cell_length_c 7.580
_cell_angle_alpha 90.00
_cell_angle_beta 90.00
_cell_angle_gamma 90.00
_space_group_name_H-M_alt 'P 1'
_space_group_IT_number 1
_space_group_name_Hall 'P 1'
loop_
_atom_site_label
_atom_site_type_symbol
_atom_site_fract_x
_atom_site_fract_y
_atom_site_fract_z
B1 B 0.000 0.000 0.351
B2 B 0.500 0.500 0.650
Ir1 Ir 0.500 0.000 0.498
Ir2 Ir 0.000 0.500 0.498
La1 La 0.000 0.000 0.833
N1 N 0.000 0.000 0.154
N2 N 0.500 0.500 0.848
Sm1 Sm 0.500 0.500 0.168
# Space group   No. 99
# Total moment   0.0 μB/f.u.
# Raw total energy   -8.284 eV per atom

***

# 5
# LiCoCu4Sn2 (PBE, relaxed)
data_LiCoCu4Sn2
_cell_length_a 4.279
_cell_length_b 4.279
_cell_length_c 6.250
_cell_angle_alpha 90.00
_cell_angle_beta 90.00
_cell_angle_gamma 90.00
_space_group_name_H-M_alt 'P 1'
_space_group_IT_number 1
_space_group_name_Hall 'P 1'
loop_
_atom_site_label
_atom_site_type_symbol
_atom_site_fract_x
_atom_site_fract_y
_atom_site_fract_z
Co1 Co 0.500 0.500 0.000
Cu1 Cu 0.500 0.000 0.247
Cu2 Cu 0.000 0.500 0.247
Cu3 Cu 0.500 0.000 0.753
Cu4 Cu 0.000 0.500 0.753
Li1 Li 0.000 0.000 0.500
Sn1 Sn 0.000 0.000 0.000
Sn2 Sn 0.500 0.500 0.500
# Space group   No. 123
# Total moment   1.3 μB/f.u.
# Offset from the most stable computed form   0.00 kJ per mole of atoms
# Raw total energy   -3.972 eV per atom

***

# 6
# Zr3Au (PBE, relaxed)
data_Zr3Au
_cell_length_a 5.495
_cell_length_b 5.986
_cell_length_c 5.133
_cell_angle_alpha 90.00
_cell_angle_beta 90.00
_cell_angle_gamma 90.00
_space_group_name_H-M_alt 'P 1'
_space_group_IT_number 1
_space_group_name_Hall 'P 1'
loop_
_atom_site_label
_atom_site_type_symbol
_atom_site_fract_x
_atom_site_fract_y
_atom_site_fract_z
Au1 Au 0.019 0.000 0.000
Au2 Au 0.315 0.500 0.500
Zr1 Zr 0.537 0.250 0.000
Zr2 Zr 0.045 0.500 0.000
Zr3 Zr 0.537 0.750 0.000
Zr4 Zr 0.288 0.000 0.500
Zr5 Zr 0.797 0.250 0.500
Zr6 Zr 0.797 0.750 0.500
# Space group   No. 59
# E_form   -0.235 eV per atom
# Total moment   0.1 μB/f.u.
# Raw total energy   -7.462 eV per atom

***

# 7
# GdInRe (PBE, relaxed)
data_GdInRe
_cell_length_a 4.708
_cell_length_b 4.708
_cell_length_c 4.708
_cell_angle_alpha 60.00
_cell_angle_beta 60.00
_cell_angle_gamma 60.00
_space_group_name_H-M_alt 'P 1'
_space_group_IT_number 1
_space_group_name_Hall 'P 1'
loop_
_atom_site_label
_atom_site_type_symbol
_atom_site_fract_x
_atom_site_fract_y
_atom_site_fract_z
Gd1 Gd 0.250 0.250 0.250
In1 In 0.000 0.000 0.000
Re1 Re 0.750 0.750 0.750
# Space group   No. 216
# Total moment   0.5 μB/f.u.
# Raw total energy   -5.832 eV per atom

***

# 8
# Hf4CdCoN2 (PBE, relaxed)
data_Hf4CdCoN2
_cell_length_a 3.198
_cell_length_b 3.198
_cell_length_c 13.955
_cell_angle_alpha 90.00
_cell_angle_beta 90.00
_cell_angle_gamma 120.00
_space_group_name_H-M_alt 'P 1'
_space_group_IT_number 1
_space_group_name_Hall 'P 1'
loop_
_atom_site_label
_atom_site_type_symbol
_atom_site_fract_x
_atom_site_fract_y
_atom_site_fract_z
Cd1 Cd 0.000 0.000 0.500
Co1 Co 0.333 0.667 0.000
Hf1 Hf 0.000 0.000 0.138
Hf2 Hf 0.333 0.667 0.322
Hf3 Hf 0.333 0.667 0.678
Hf4 Hf 0.000 0.000 0.862
N1 N 0.667 0.333 0.233
N2 N 0.667 0.333 0.767
# Space group   No. 187
# Total moment   0.0 μB/f.u.
# Raw total energy   -8.953 eV per atom